ZnPt2Pb2 | SCAN | PBEsol geometry

Summary:
Magnetization   0.0 μB/f.u.
Energy of formation   78 meV per atom

a b c (Å): 3.8448 3.8448 8.0499
angles (deg): 103.82 103.82 90.00
Atoms (fractional coordinates):
Pb1 0.3851 0.3851 0.7702
Pb2 0.6149 0.6149 0.2298
Zn1 0.0000 0.0000 0.0000
Pt1 0.2500 0.7500 0.5000
Pt2 0.7500 0.2500 0.5000